[1]
! YRe3Pb | Alexandria | meta-GGA SCAN | single point on PBEsol structure; values from VASP
&SYSTEM
  ibrav = 0, nat = 5, ntyp = 3
/
ATOMIC_SPECIES
Y 88.91 Y.upf
Re 186.21 Re.upf
Pb 207.20 Pb.upf
ATOMIC_POSITIONS crystal
Y 0.0000 0.0000 0.0000
Re 0.0000 0.0000 0.5000
Re 0.0000 0.5000 0.0000
Re 0.5000 0.0000 0.0000
Pb 0.5000 0.5000 0.5000
CELL_PARAMETERS angstrom
4.8233 0.0000 0.0000
0.0000 4.8233 0.0000
0.0000 0.0000 4.8233
! Formation enthalpy at 0 K: 3059 meV/atom

=====

[2]
! YRePb2 | Alexandria | meta-GGA SCAN | single point on PBEsol structure; values from VASP
&SYSTEM
  ibrav = 0, nat = 4, ntyp = 3
/
ATOMIC_SPECIES
Y 88.91 Y.upf
Re 186.21 Re.upf
Pb 207.20 Pb.upf
ATOMIC_POSITIONS crystal
Y 0.0000 0.0000 0.0000
Re 0.5000 0.5000 0.5000
Pb 0.2500 0.2500 0.2500
Pb 0.7500 0.7500 0.7500
CELL_PARAMETERS angstrom
0.0000 3.4908 3.4908
3.4908 0.0000 3.4908
3.4908 3.4908 0.0000
! Formation enthalpy at 0 K: 239 meV/atom

=====

[3]
! YRePb2 | Alexandria | meta-GGA SCAN | single point on PBEsol structure; values from VASP
&SYSTEM
  ibrav = 0, nat = 4, ntyp = 3
/
ATOMIC_SPECIES
Y 88.91 Y.upf
Re 186.21 Re.upf
Pb 207.20 Pb.upf
ATOMIC_POSITIONS crystal
Y 0.0000 0.0000 0.0000
Re 0.0000 0.0000 0.5000
Pb 0.5000 0.5000 0.2754
Pb 0.5000 0.5000 0.7246
CELL_PARAMETERS angstrom
1.7185 -2.7684 0.0000
1.7185 2.7684 0.0000
0.0000 0.0000 9.6569
! Formation enthalpy at 0 K: 565 meV/atom

=====

no.,size of the total moment (μB/f.u.)
1,3.01
2,0.00
3,0.75